P.
Here is KTl2Mo at its PBEsol-relaxed geometry from the Alexandria database. Energies are from SCAN.

## Properties
As for the crystal system: orthorhombic.

Cell: 5.183 5.183 5.183 Å, 120.02 119.88 90.09°
Fractional positions:
K1 0.000 0.000 0.000
Tl1 0.251 0.751 0.500
Tl2 0.749 0.249 0.500
Mo1 0.500 0.500 0.000


Q.
Here is KTl2Mo at its PBEsol-relaxed geometry from the Alexandria database. Energies are from SCAN.

## Properties
As for the crystal system: monoclinic.

Cell: 8.496 8.496 4.774 Å, 106.20 106.20 20.33°
Fractional positions:
K1 0.000 0.000 0.000
Tl1 0.646 0.646 0.645
Tl2 0.817 0.817 0.316
Mo1 0.296 0.296 0.795


Which one is the most stable? From the structures above, Q.